P) CaMoOs2 | PBE | optimized geometry

Properties
For the volume, the calculation gives 16.59 Å³/atom.

abc: 4.5941 4.5941 3.1438
angles: 90.00 90.00 90.00
Closest atoms and distances in Å follow each position.
Fractional coordinates of all 4 atoms:
Ca: 0.0000 0.0000 0.0000  8 Os 2.78
Mo: 0.5000 0.5000 0.0000  8 Os 2.78
Os: 0.0000 0.5000 0.5000  4 Mo 2.78, 4 Ca 2.78
Os: 0.5000 0.0000 0.5000  4 Mo 2.78, 4 Ca 2.78

---

Q) CaMoOs2 | PBE | optimized geometry

Properties
For the volume, the calculation gives 17.61 Å³/atom.

abc: 2.8297 4.2885 5.9569
angles: 90.00 103.04 90.00
Closest atoms and distances in Å follow each position.
Fractional coordinates of all 4 atoms:
Ca: 0.0000 0.0000 0.0000  2 Ca 2.83, 2 Mo 3.00, 8 Os 3.03-3.15
Mo: 0.5000 0.0000 0.5000  4 Os 2.58, 2 Mo 2.83
Os: 0.3150 0.5000 0.7056  2 Mo 2.58, 4 Os 2.68-2.87
Os: 0.6850 0.5000 0.2944  2 Mo 2.58, 4 Os 2.68-2.87

---

Most stable structure, least stable structure: Q), P).

---

P) CaMo2Os | PBE | optimized geometry

Properties
For the volume, the calculation gives 18.84 Å³/atom.

abc: 9.8398 3.0474 5.2882
angles: 90.00 108.12 90.00
Closest atoms and distances in Å follow each position.
Fractional coordinates of all 8 atoms:
Ca: 0.0000 0.0000 0.0000  7 Mo 3.02-3.20, 2 Ca 3.05, 3 Os 3.08-3.18
Ca: 0.5000 0.5000 0.0000  7 Mo 3.02-3.20, 2 Ca 3.05, 3 Os 3.08-3.18
Mo: 0.0063 0.5000 0.5108  2 Mo 2.58, 2 Os 2.58
Mo: 0.2865 0.5000 0.3254  2 Mo 2.58, 2 Os 2.64
Mo: 0.5063 0.0000 0.5108  2 Mo 2.58, 2 Os 2.58
Mo: 0.7865 0.0000 0.3254  2 Mo 2.58, 2 Os 2.64
Os: 0.2279 0.0000 0.6857  4 Mo 2.58-2.64
Os: 0.7279 0.5000 0.6857  4 Mo 2.58-2.64

---

Q) CaMo2Os | PBE | optimized geometry

Properties
For the volume, the calculation gives 16.89 Å³/atom.

abc: 4.7641 4.7641 2.9773
angles: 90.00 90.00 90.00
Closest atoms and distances in Å follow each position.
Fractional coordinates of all 4 atoms:
Ca: 0.0000 0.0000 0.0000  8 Mo 2.81, 2 Ca 2.98
Mo: 0.0000 0.5000 0.5000  4 Os 2.81, 4 Ca 2.81, 2 Mo 2.98
Mo: 0.5000 0.0000 0.5000  4 Os 2.81, 4 Ca 2.81, 2 Mo 2.98
Os: 0.5000 0.5000 0.0000  8 Mo 2.81, 2 Os 2.98

---

Most stable structure, least stable structure: P), Q).

---

P) CaMo2Os | PBE | optimized geometry

Properties
For the volume, the calculation gives 17.38 Å³/atom.

abc: 3.8916 3.8916 9.1802
angles: 90.00 90.00 90.00
Closest atoms and distances in Å follow each position.
Fractional coordinates of all 8 atoms:
Ca: 0.0000 0.0000 0.0000  4 Os 2.75, 8 Mo 3.01
Ca: 0.5000 0.5000 0.5000  4 Os 2.75, 8 Mo 3.01
Mo: 0.0000 0.5000 0.2500  4 Mo 2.75, 4 Os 3.01, 4 Ca 3.01
Mo: 0.0000 0.5000 0.7500  4 Mo 2.75, 4 Ca 3.01, 4 Os 3.01
Mo: 0.5000 0.0000 0.2500  4 Mo 2.75, 4 Os 3.01, 4 Ca 3.01
Mo: 0.5000 0.0000 0.7500  4 Mo 2.75, 4 Ca 3.01, 4 Os 3.01
Os: 0.0000 0.0000 0.5000  4 Ca 2.75, 8 Mo 3.01
Os: 0.5000 0.5000 0.0000  4 Ca 2.75, 8 Mo 3.01

---

Q) CaMo2Os | PBE | optimized geometry

Properties
For the volume, the calculation gives 17.44 Å³/atom.

abc: 2.8676 2.8676 29.3902
angles: 90.00 90.00 120.00
Closest atoms and distances in Å follow each position.
Fractional coordinates of all 12 atoms:
Ca: 0.0000 0.0000 0.0000  6 Ca 2.87, 3 Os 3.08, 3 Mo 3.19
Ca: 0.3333 0.6667 0.6667  6 Ca 2.87, 3 Os 3.08, 3 Mo 3.19
Ca: 0.6667 0.3333 0.3333  6 Ca 2.87, 3 Os 3.08, 3 Mo 3.19
Mo: 0.0000 0.0000 0.5067  3 Os 2.68, 9 Mo 2.87-2.89
Mo: 0.0000 0.0000 0.7592  9 Mo 2.87-2.89, 3 Ca 3.19
Mo: 0.3333 0.6667 0.1734  3 Os 2.68, 9 Mo 2.87-2.89
Mo: 0.3333 0.6667 0.4259  9 Mo 2.87-2.89, 3 Ca 3.19
Mo: 0.6667 0.3333 0.0926  9 Mo 2.87-2.89, 3 Ca 3.19
Mo: 0.6667 0.3333 0.8400  3 Os 2.68, 9 Mo 2.87-2.89
Os: 0.0000 0.0000 0.2451  3 Mo 2.68, 6 Os 2.87
Os: 0.3333 0.6667 0.9118  3 Mo 2.68, 6 Os 2.87
Os: 0.6667 0.3333 0.5785  3 Mo 2.68, 6 Os 2.87

---

R) CaMo2Os | PBE | optimized geometry

Properties
For the volume, the calculation gives 18.37 Å³/atom.

abc: 2.8572 2.8572 9.0000
angles: 90.00 90.00 90.00
Closest atoms and distances in Å follow each position.
Fractional coordinates of all 4 atoms:
Ca: 0.0000 0.0000 0.0000  4 Ca 2.86
Mo: 0.5000 0.5000 0.2978  4 Os 2.72, 4 Mo 2.86
Mo: 0.5000 0.5000 0.7022  4 Os 2.72, 4 Mo 2.86
Os: 0.0000 0.0000 0.5000  8 Mo 2.72, 4 Os 2.86

---

S) CaMo2Os | PBE | optimized geometry

Properties
For the volume, the calculation gives 19.52 Å³/atom.

abc: 2.8795 3.7490 7.2312
angles: 90.00 90.00 90.00
Closest atoms and distances in Å follow each position.
Fractional coordinates of all 4 atoms:
Ca: 0.0000 0.0000 0.0000  2 Ca 2.88
Mo: 0.5000 0.5000 0.3225  1 Mo 2.57, 4 Os 2.69
Mo: 0.5000 0.5000 0.6775  1 Mo 2.57, 4 Os 2.69
Os: 0.0000 0.0000 0.5000  8 Mo 2.69, 2 Os 2.88

---

Most stable structure, least stable structure: R), P).

---

P) CaMo2Os | PBE | optimized geometry

Properties
For the volume, the calculation gives 17.33 Å³/atom.

abc: 2.7988 4.5550 5.5441
angles: 90.00 101.21 90.00
Closest atoms and distances in Å follow each position.
Fractional coordinates of all 4 atoms:
Ca: 0.0000 0.0000 0.0000  2 Ca 2.80, 2 Os 2.85, 4 Mo 2.91
Mo: 0.2443 0.5000 0.7219  3 Mo 2.57-2.80, 2 Os 2.75
Mo: 0.7557 0.5000 0.2781  3 Mo 2.57-2.80, 2 Os 2.75
Os: 0.5000 0.0000 0.5000  4 Mo 2.75, 2 Os 2.80, 2 Ca 2.85

---

Q) CaMo2Os | PBE | optimized geometry

Properties
For the volume, the calculation gives 19.15 Å³/atom.

abc: 10.2004 3.1200 5.0289
angles: 90.00 106.78 90.00
Closest atoms and distances in Å follow each position.
Fractional coordinates of all 8 atoms:
Ca: 0.0000 0.0000 0.0000  4 Os 2.96, 2 Ca 3.12, 6 Mo 3.13-3.30
Ca: 0.5000 0.5000 0.0000  4 Os 2.96, 2 Ca 3.12, 6 Mo 3.13-3.30
Mo: 0.2148 0.0000 0.6648  2 Mo 2.53, 2 Os 2.62
Mo: 0.2852 0.5000 0.3352  2 Mo 2.53, 2 Os 2.62
Mo: 0.7148 0.5000 0.6648  2 Mo 2.53, 2 Os 2.62
Mo: 0.7852 0.0000 0.3352  2 Mo 2.53, 2 Os 2.62
Os: 0.0000 0.5000 0.5000  4 Mo 2.62
Os: 0.5000 0.0000 0.5000  4 Mo 2.62

---

R) CaMo2Os | PBE | optimized geometry

Properties
For the volume, the calculation gives 16.69 Å³/atom.

abc: 6.4399 6.4399 6.4399
angles: 90.00 90.00 90.00
Closest atoms and distances in Å follow each position.
Fractional coordinates of all 16 atoms:
Ca: 0.0000 0.0000 0.0000  8 Mo 2.79
Ca: 0.0000 0.5000 0.5000  8 Mo 2.79
Ca: 0.5000 0.0000 0.5000  8 Mo 2.79
Ca: 0.5000 0.5000 0.0000  8 Mo 2.79
Mo: 0.2500 0.2500 0.2500  4 Os 2.79, 4 Ca 2.79
Mo: 0.2500 0.2500 0.7500  4 Os 2.79, 4 Ca 2.79
Mo: 0.2500 0.7500 0.2500  4 Os 2.79, 4 Ca 2.79
Mo: 0.2500 0.7500 0.7500  4 Os 2.79, 4 Ca 2.79
Mo: 0.7500 0.2500 0.2500  4 Os 2.79, 4 Ca 2.79
Mo: 0.7500 0.2500 0.7500  4 Os 2.79, 4 Ca 2.79
Mo: 0.7500 0.7500 0.2500  4 Os 2.79, 4 Ca 2.79
Mo: 0.7500 0.7500 0.7500  4 Os 2.79, 4 Ca 2.79
Os: 0.0000 0.0000 0.5000  8 Mo 2.79
Os: 0.0000 0.5000 0.0000  8 Mo 2.79
Os: 0.5000 0.0000 0.0000  8 Mo 2.79
Os: 0.5000 0.5000 0.5000  8 Mo 2.79

---

Most stable structure, least stable structure: Q), R).